# 1
# Co2Ag PBE optimized geometry
data_Co2Ag
_space_group_name_H-M_alt 'P 1'
_space_group_IT_number 1
_cell_length_a 4.851
_cell_length_b 4.851
_cell_length_c 4.851
_cell_angle_alpha 60.00
_cell_angle_beta 60.00
_cell_angle_gamma 60.00
loop_
_space_group_symop_operation_xyz
'x,y,z'
loop_
_atom_site_label
_atom_site_fract_x
_atom_site_fract_y
_atom_site_fract_z
Co1 0.000 0.000 0.000
Co2 0.000 0.000 0.500
Co3 0.000 0.500 0.000
Co4 0.500 0.000 0.000
Ag1 0.375 0.375 0.375
Ag2 0.625 0.625 0.625
# **DOS(E_F)**: 4.025 states/eV/f.u.
# **Calculated volume**: 40.35 Å³/f.u.
# **Distance to the lowest polymorph of the same formula**: 50.2 meV per atom
# **E_tot**: -32.21 eV/cell
# **DFT formation energy**: 0.319 eV/atom
# **ρ**: 9.290 g/cm3

# 2
# Ti4Ir3Rh PBE optimized geometry
data_Ti4Ir3Rh
_space_group_name_H-M_alt 'P 1'
_space_group_IT_number 1
_cell_length_a 7.539
_cell_length_b 7.539
_cell_length_c 4.167
_cell_angle_alpha 105.96
_cell_angle_beta 105.96
_cell_angle_gamma 32.09
loop_
_space_group_symop_operation_xyz
'x,y,z'
loop_
_atom_site_label
_atom_site_fract_x
_atom_site_fract_y
_atom_site_fract_z
Ti1 0.125 0.125 0.125
Ti2 0.375 0.375 0.375
Ti3 0.625 0.625 0.625
Ti4 0.875 0.875 0.875
Ir1 0.000 0.000 0.500
Ir2 0.251 0.251 0.751
Ir3 0.749 0.749 0.249
Rh1 0.500 0.500 0.000
# **DOS(E_F)**: 7.855 states/eV/f.u.
# **Calculated volume**: 120.56 Å³/f.u.
# **E_tot**: -72.13 eV/cell
# **DFT formation energy**: -0.827 eV/atom
# **ρ**: 11.997 g/cm3

# 3
# Y3HoIr3 PBE optimized geometry
data_Y3HoIr3
_space_group_name_H-M_alt 'P 1'
_space_group_IT_number 1
_cell_length_a 5.914
_cell_length_b 5.914
_cell_length_c 5.914
_cell_angle_alpha 109.34
_cell_angle_beta 109.34
_cell_angle_gamma 109.34
loop_
_space_group_symop_operation_xyz
'x,y,z'
loop_
_atom_site_label
_atom_site_fract_x
_atom_site_fract_y
_atom_site_fract_z
Y1 0.000 0.500 0.500
Y2 0.500 0.000 0.500
Y3 0.500 0.500 0.000
Ho1 0.000 0.000 0.000
Ir1 0.000 0.000 0.500
Ir2 0.000 0.500 0.000
Ir3 0.500 0.000 0.000
# **DOS(E_F)**: 5.902 states/eV/f.u.
# **Calculated volume**: 160.01 Å³/f.u.
# **E_tot**: -55.56 eV/cell
# **DFT formation energy**: -0.715 eV/atom
# **ρ**: 10.464 g/cm3

# 4
# LiHo6Co PBE optimized geometry
data_LiHo6Co
_space_group_name_H-M_alt 'P 1'
_space_group_IT_number 1
_cell_length_a 6.639
_cell_length_b 6.650
_cell_length_c 7.189
_cell_angle_alpha 90.11
_cell_angle_beta 117.38
_cell_angle_gamma 119.94
loop_
_space_group_symop_operation_xyz
'x,y,z'
loop_
_atom_site_label
_atom_site_fract_x
_atom_site_fract_y
_atom_site_fract_z
Li1 0.000 0.000 0.000
Ho1 0.173 0.457 0.256
Ho2 0.200 0.285 0.744
Ho3 0.459 0.916 0.744
Ho4 0.541 0.084 0.256
Ho5 0.800 0.715 0.256
Ho6 0.827 0.543 0.744
Co1 0.000 0.500 0.500
# **DOS(E_F)**: 11.984 states/eV/f.u.
# **Calculated volume**: 232.94 Å³/f.u.
# **E_tot**: -35.32 eV/cell
# **DFT formation energy**: 0.145 eV/atom
# **ρ**: 7.524 g/cm3

# 5
# Tl2NiSe PBE optimized geometry
data_Tl2NiSe
_space_group_name_H-M_alt 'P 1'
_space_group_IT_number 1
_cell_length_a 8.525
_cell_length_b 8.525
_cell_length_c 3.555
_cell_angle_alpha 101.88
_cell_angle_beta 101.88
_cell_angle_gamma 23.02
loop_
_space_group_symop_operation_xyz
'x,y,z'
loop_
_atom_site_label
_atom_site_fract_x
_atom_site_fract_y
_atom_site_fract_z
Tl1 0.161 0.161 0.161
Tl2 0.839 0.839 0.839
Ni1 0.500 0.500 0.000
Se1 0.000 0.000 0.500
# **DOS(E_F)**: 2.840 states/eV/f.u.
# **Calculated volume**: 98.78 Å³/f.u.
# **Distance to the lowest polymorph of the same formula**: 133.3 meV per atom
# **E_tot**: -14.15 eV/cell
# **Raw formation energy**: -0.038 eV per atom
# **ρ**: 9.185 g/cm3

# 6
# Np4PdRh12 PBE optimized geometry
data_Np4PdRh12
_space_group_name_H-M_alt 'P 1'
_space_group_IT_number 1
_cell_length_a 7.216
_cell_length_b 7.216
_cell_length_c 7.216
_cell_angle_alpha 109.47
_cell_angle_beta 109.47
_cell_angle_gamma 109.47
loop_
_space_group_symop_operation_xyz
'x,y,z'
loop_
_atom_site_label
_atom_site_fract_x
_atom_site_fract_y
_atom_site_fract_z
Np1 0.000 0.000 0.500
Np2 0.000 0.500 0.000
Np3 0.500 0.000 0.000
Np4 0.500 0.500 0.500
Pd1 0.000 0.000 0.000
Rh1 0.000 0.301 0.301
Rh2 0.000 0.699 0.699
Rh3 0.250 0.500 0.750
Rh4 0.250 0.750 0.500
Rh5 0.301 0.000 0.301
Rh6 0.301 0.301 0.000
Rh7 0.500 0.250 0.750
Rh8 0.500 0.750 0.250
Rh9 0.699 0.000 0.699
Rh10 0.699 0.699 0.000
Rh11 0.750 0.250 0.500
Rh12 0.750 0.500 0.250
# **DOS(E_F)**: 44.327 states/eV/f.u.
# **Calculated volume**: 289.20 Å³/f.u.
# **E_tot**: -148.80 eV/cell
# **DFT formation energy**: -0.213 eV/atom
# **ρ**: 13.145 g/cm3

# 7
# LaAlTlGe2 PBE optimized geometry
data_LaAlTlGe2
_space_group_name_H-M_alt 'P 1'
_space_group_IT_number 1
_cell_length_a 5.222
_cell_length_b 5.222
_cell_length_c 6.111
_cell_angle_alpha 90.00
_cell_angle_beta 90.00
_cell_angle_gamma 90.00
loop_
_space_group_symop_operation_xyz
'x,y,z'
loop_
_atom_site_label
_atom_site_fract_x
_atom_site_fract_y
_atom_site_fract_z
La1 0.000 0.000 0.000
Al1 0.500 0.500 0.000
Tl1 0.000 0.000 0.500
Ge1 0.000 0.500 0.500
Ge2 0.500 0.000 0.500
# **DOS(E_F)**: 3.060 states/eV/f.u.
# **Calculated volume**: 166.66 Å³/f.u.
# **Distance to the lowest polymorph of the same formula**: 737.0 meV per atom
# **E_tot**: -16.46 eV/cell
# **DFT formation energy**: 0.762 eV/atom
# **ρ**: 5.137 g/cm3

# 8
# CaCd2 PBE optimized geometry
data_CaCd2
_space_group_name_H-M_alt 'P 1'
_space_group_IT_number 1
_cell_length_a 6.463
_cell_length_b 5.174
_cell_length_c 9.358
_cell_angle_alpha 90.00
_cell_angle_beta 90.00
_cell_angle_gamma 90.00
loop_
_space_group_symop_operation_xyz
'x,y,z'
loop_
_atom_site_label
_atom_site_fract_x
_atom_site_fract_y
_atom_site_fract_z
Ca1 0.182 0.250 0.084
Ca2 0.318 0.750 0.584
Ca3 0.682 0.250 0.416
Ca4 0.818 0.750 0.916
Cd1 0.025 0.250 0.732
Cd2 0.176 0.250 0.417
Cd3 0.324 0.750 0.917
Cd4 0.475 0.750 0.232
Cd5 0.525 0.250 0.768
Cd6 0.676 0.250 0.083
Cd7 0.824 0.750 0.583
Cd8 0.975 0.750 0.268
# **DOS(E_F)**: 1.695 states/eV/f.u.
# **Calculated volume**: 78.24 Å³/f.u.
# **E_tot**: -18.57 eV/cell
# **DFT formation energy**: -0.270 eV/atom
# **ρ**: 5.622 g/cm3

# 9
# Nd6CdHg3 PBE optimized geometry
data_Nd6CdHg3
_space_group_name_H-M_alt 'P 1'
_space_group_IT_number 1
_cell_length_a 9.480
_cell_length_b 5.435
_cell_length_c 11.979
_cell_angle_alpha 90.00
_cell_angle_beta 107.56
_cell_angle_gamma 90.00
loop_
_space_group_symop_operation_xyz
'x,y,z'
loop_
_atom_site_label
_atom_site_fract_x
_atom_site_fract_y
_atom_site_fract_z
Nd1 0.031 0.250 0.408
Nd2 0.157 0.750 0.182
Nd3 0.240 0.250 0.999
Nd4 0.345 0.750 0.808
Nd5 0.371 0.250 0.347
Nd6 0.404 0.250 0.624
Nd7 0.596 0.750 0.376
Nd8 0.629 0.750 0.653
Nd9 0.655 0.250 0.192
Nd10 0.760 0.750 0.001
Nd11 0.843 0.250 0.818
Nd12 0.969 0.750 0.592
Cd1 0.455 0.750 0.094
Cd2 0.545 0.250 0.906
Hg1 0.033 0.750 0.879
Hg2 0.122 0.250 0.716
Hg3 0.272 0.750 0.475
Hg4 0.728 0.250 0.525
Hg5 0.878 0.750 0.284
Hg6 0.967 0.250 0.121
# **DOS(E_F)**: 11.978 states/eV/f.u.
# **Calculated volume**: 294.23 Å³/f.u.
# **E_tot**: -67.05 eV/cell
# **DFT formation energy**: -0.310 eV/atom
# **ρ**: 8.915 g/cm3

# 10
# Er4TlPbC PBE optimized geometry
data_Er4TlPbC
_space_group_name_H-M_alt 'P 1'
_space_group_IT_number 1
_cell_length_a 8.560
_cell_length_b 8.560
_cell_length_c 6.784
_cell_angle_alpha 90.00
_cell_angle_beta 90.00
_cell_angle_gamma 133.25
loop_
_space_group_symop_operation_xyz
'x,y,z'
loop_
_atom_site_label
_atom_site_fract_x
_atom_site_fract_y
_atom_site_fract_z
Er1 0.000 0.500 0.000
Er2 0.000 0.500 0.500
Er3 0.090 0.910 0.750
Er4 0.408 0.592 0.750
Er5 0.500 0.000 0.000
Er6 0.500 0.000 0.500
Er7 0.592 0.408 0.250
Er8 0.910 0.090 0.250
Tl1 0.112 0.888 0.250
Tl2 0.888 0.112 0.750
Pb1 0.391 0.609 0.250
Pb2 0.609 0.391 0.750
C1 0.249 0.751 0.750
C2 0.751 0.249 0.250
# **DOS(E_F)**: 4.531 states/eV/f.u.
# **Calculated volume**: 181.03 Å³/f.u.
# **E_tot**: -73.32 eV/cell
# **DFT formation energy**: -0.444 eV/atom
# **ρ**: 10.022 g/cm3

# 11
# YOsRu2 PBE optimized geometry
data_YOsRu2
_space_group_name_H-M_alt 'P 1'
_space_group_IT_number 1
_cell_length_a 4.822
_cell_length_b 4.822
_cell_length_c 2.917
_cell_angle_alpha 90.00
_cell_angle_beta 90.00
_cell_angle_gamma 104.80
loop_
_space_group_symop_operation_xyz
'x,y,z'
loop_
_atom_site_label
_atom_site_fract_x
_atom_site_fract_y
_atom_site_fract_z
Y1 0.000 0.000 0.000
Os1 0.500 0.500 0.000
Ru1 0.000 0.500 0.500
Ru2 0.500 0.000 0.500
# **DOS(E_F)**: 5.444 states/eV/f.u.
# **Calculated volume**: 65.58 Å³/f.u.
# **Distance to the lowest polymorph of the same formula**: 78.5 meV per atom
# **E_tot**: -35.29 eV/cell
# **DFT formation energy**: 0.239 eV/atom
# **ρ**: 12.186 g/cm3